[1]
A geometry-optimized Na3Pm2ScSe6 structure. Source: Alexandria via LeMat-Bulk, functional PBE.

* V: 26.2 Å³/atom
* raw formation energy: -1645 meV per atom
* raw total energy: -5.04 eV/atom
* total moment: 0.00 μB/f.u.

Lattice parameters (Å, degrees): 7.1987 7.1987 7.4045 99.35 99.35 120.03
Positions (direct):
Na 0.0000 0.0000 0.0000
Na 0.3314 0.6686 0.0000
Na 0.6686 0.3314 0.0000
Pm 0.1663 0.8337 0.5000
Pm 0.8337 0.1663 0.5000
Sc 0.5000 0.5000 0.5000
Se 0.1077 0.4235 0.2706
Se 0.2613 0.2613 0.7277
Se 0.4235 0.1077 0.2706
Se 0.5765 0.8923 0.7294
Se 0.7387 0.7387 0.2723
Se 0.8923 0.5765 0.7294

***

[2]
A geometry-optimized KMnCl3 structure. Source: Alexandria via LeMat-Bulk, functional PBE.

* V: 29.9 Å³/atom
* raw formation energy: -1417 meV per atom
* raw total energy: -4.58 eV/atom
* total moment: 5.00 μB/f.u.

Lattice parameters (Å, degrees): 6.5552 14.9103 6.1254 90.00 90.00 90.00
Positions (direct):
K 0.0000 0.0000 0.0000
K 0.0000 0.5000 0.0000
K 0.5000 0.0000 0.5000
K 0.5000 0.5000 0.5000
Mn 0.0117 0.2500 0.4302
Mn 0.4883 0.7500 0.9302
Mn 0.5117 0.2500 0.0698
Mn 0.9883 0.7500 0.5698
Cl 0.0896 0.6077 0.4602
Cl 0.0896 0.8923 0.4602
Cl 0.1176 0.7500 0.9417
Cl 0.3824 0.2500 0.4417
Cl 0.4104 0.1077 0.9602
Cl 0.4104 0.3923 0.9602
Cl 0.5896 0.6077 0.0398
Cl 0.5896 0.8923 0.0398
Cl 0.6176 0.7500 0.5583
Cl 0.8824 0.2500 0.0583
Cl 0.9104 0.1077 0.5398
Cl 0.9104 0.3923 0.5398

***

[3]
A geometry-optimized Mg2ZnTc structure. Source: Alexandria via LeMat-Bulk, functional PBE.

* V: 17.4 Å³/atom
* ΔE to the lowest computed polymorph: 102 meV/atom
* E_form: 187 meV/atom
* raw total energy: -3.52 eV/atom
* total moment: 0.11 μB/f.u.

Lattice parameters (Å, degrees): 3.2128 3.2128 6.7269 90.00 90.00 90.00
Positions (direct):
Mg 0.0000 0.0000 0.0000
Mg 0.5000 0.5000 0.3185
Zn 0.5000 0.5000 0.7514
Tc 0.0000 0.0000 0.5570

***

[4]
A geometry-optimized Pr5TlAu structure. Source: Alexandria via LeMat-Bulk, functional PBE.

* V: 32.0 Å³/atom
* E_form: -216 meV/atom
* raw total energy: -4.44 eV/atom
* total moment: 0.00 μB/f.u.

Lattice parameters (Å, degrees): 6.1785 6.1785 12.1620 100.53 100.53 85.69
Positions (direct):
Pr 0.0129 0.9871 0.7500
Pr 0.0736 0.4539 0.1348
Pr 0.2280 0.5171 0.4434
Pr 0.4539 0.0736 0.6348
Pr 0.4829 0.7720 0.0566
Pr 0.5171 0.2280 0.9434
Pr 0.5461 0.9264 0.3652
Pr 0.7720 0.4829 0.5566
Pr 0.9264 0.5461 0.8652
Pr 0.9871 0.0129 0.2500
Tl 0.4006 0.5994 0.7500
Tl 0.5994 0.4006 0.2500
Au 0.0000 0.0000 0.0000
Au 0.0000 0.0000 0.5000

***

[5]
A geometry-optimized SiSe2BrN structure. Source: Alexandria via LeMat-Bulk, functional PBE.

* V: 21.1 Å³/atom
* ΔE to the lowest computed polymorph: 1113 meV/atom
* raw formation energy: 1571 meV per atom
* raw total energy: -2.91 eV/atom
* total moment: 0.29 μB/f.u.

Lattice parameters (Å, degrees): 5.2956 5.2956 3.7679 90.00 90.00 90.00
Positions (direct):
Si 0.0000 0.0000 0.0000
Se 0.0000 0.5000 0.5000
Se 0.5000 0.0000 0.5000
Br 0.5000 0.5000 0.5000
N 0.5000 0.5000 0.0000

***

Number 1: N(E_F) 0.000 states/eV/f.u.. Number 2: N(E_F) 0.000 states/eV/f.u.. Number 3: N(E_F) 4.078 states/eV/f.u.. Number 4: N(E_F) 8.016 states/eV/f.u.. Number 5: N(E_F) 4.082 states/eV/f.u..